(1)
Here is a relaxed MgGa4Rh crystal from Alexandria. Energies are from PBE.

Summary:
For the total energy, the calculation gives -22.3 eV/cell. Its magnetization is 0.00 μB per atom. The value obtained for the energy above the most stable polymorph in this dataset is 0.008 eV per atom. Its energy of formation is -1.25 eV per formula unit.

Cell lengths 4.085, 4.086, 7.214 Å; angles 89.99, 90.00, 90.04 degrees
Positions (direct):
Ga (0.501, 0.997, 0.787)
Ga (0.001, 0.497, 0.787)
Ga (0.001, 0.497, 0.209)
Ga (0.501, 0.997, 0.209)
Rh (0.501, 0.497, 0.998)
Mg (0.001, 0.998, 0.498)



(2)
Here is a relaxed HoInBi crystal from Alexandria. Energies are from PBE.

Summary:
For the total energy, the calculation gives -12.0 eV/cell. Its magnetization is 0.00 μB per atom. Its energy of formation is -0.76 eV per formula unit.

Cell lengths 3.395, 5.418, 5.418 Å; angles 120.00, 90.00, 90.00 degrees
Positions (direct):
In (0.187, 0.333, 0.667)
Ho (0.665, 0.667, 0.333)
Bi (0.148, 0.000, 0.000)



(3)
Here is a relaxed Ba3SmIr2O9 crystal from Alexandria. Energies are from PBE.

Summary:
For the total energy, the calculation gives -174.8 eV/cell. Its magnetization is 0.21 μB per atom. The value obtained for the energy above the most stable polymorph in this dataset is 1.106 eV per atom.

Cell lengths 6.978, 6.978, 15.306 Å; angles 90.00, 90.00, 120.00 degrees
Positions (direct):
O (0.864, 0.727, 0.394)
O (0.136, 0.273, 0.606)
O (0.727, 0.864, 0.606)
O (0.094, 0.547, 0.250)
O (0.136, 0.273, 0.894)
O (0.453, 0.906, 0.250)
O (0.136, 0.864, 0.606)
O (0.453, 0.547, 0.250)
O (0.906, 0.453, 0.750)
O (0.273, 0.136, 0.394)
O (0.864, 0.136, 0.106)
O (0.864, 0.727, 0.106)
O (0.864, 0.136, 0.394)
O (0.136, 0.864, 0.894)
O (0.273, 0.136, 0.106)
O (0.727, 0.864, 0.894)
O (0.547, 0.094, 0.750)
O (0.547, 0.453, 0.750)
Sm (0.000, 0.000, 0.500)
Sm (0.000, 0.000, 0.000)
Ba (0.333, 0.667, 0.881)
Ba (0.667, 0.333, 0.119)
Ba (0.000, 0.000, 0.250)
Ba (0.333, 0.667, 0.619)
Ba (0.667, 0.333, 0.381)
Ba (0.000, 0.000, 0.750)
Ir (0.667, 0.333, 0.662)
Ir (0.333, 0.667, 0.338)
Ir (0.667, 0.333, 0.838)
Ir (0.333, 0.667, 0.162)



(4)
Here is a relaxed GaCo2Tc crystal from Alexandria. Energies are from PBE.

Summary:
For the total energy, the calculation gives -51.8 eV/cell. Its magnetization is 0.33 μB per atom. Its energy of formation is 1.68 eV per formula unit.

Cell lengths 3.600, 3.600, 8.741 Å; angles 78.11, 78.11, 90.00 degrees
Positions (direct):
Co (0.131, 0.625, 0.250)
Co (0.875, 0.869, 0.750)
Co (0.375, 0.381, 0.750)
Co (0.619, 0.125, 0.250)
Tc (0.750, 0.250, 0.500)
Tc (0.000, 0.000, 0.000)
Ga (0.500, 0.500, 0.000)
Ga (0.250, 0.750, 0.500)



(5)
Here is a relaxed ErTm12Sc6 crystal from Alexandria. Energies are from PBE.

Summary:
For the total energy, the calculation gives -91.6 eV/cell. Its magnetization is 0.00 μB per atom. The value obtained for the energy above the most stable polymorph in this dataset is 0.164 eV per atom. Its energy of formation is 4.58 eV per formula unit.

Cell lengths 8.946, 8.946, 8.946 Å; angles 109.47, 109.47, 109.47 degrees
Positions (direct):
Tm (0.806, 0.734, 0.540)
Tm (0.266, 0.072, 0.806)
Tm (0.734, 0.928, 0.194)
Tm (0.806, 0.266, 0.072)
Tm (0.194, 0.734, 0.928)
Tm (0.734, 0.540, 0.806)
Tm (0.460, 0.194, 0.266)
Tm (0.194, 0.266, 0.460)
Tm (0.540, 0.806, 0.734)
Tm (0.266, 0.460, 0.194)
Tm (0.928, 0.194, 0.734)
Tm (0.072, 0.806, 0.266)
Er (0.000, 0.000, 0.000)
Sc (0.500, 0.138, 0.638)
Sc (0.638, 0.500, 0.138)
Sc (0.862, 0.362, 0.500)
Sc (0.138, 0.638, 0.500)
Sc (0.500, 0.862, 0.362)
Sc (0.362, 0.500, 0.862)



(6)
Here is a relaxed Ca2CuCl crystal from Alexandria. Energies are from PBE.

Summary:
For the total energy, the calculation gives -13.2 eV/cell. Its magnetization is 0.00 μB per atom. The value obtained for the energy above the most stable polymorph in this dataset is 0.020 eV per atom.

Cell lengths 3.979, 3.979, 8.061 Å; angles 75.71, 75.71, 60.00 degrees
Positions (direct):
Ca (0.260, 0.260, 0.220)
Ca (0.076, 0.076, 0.773)
Cu (0.669, 0.669, 0.994)
Cl (0.496, 0.496, 0.512)



no.,DOS at the Fermi energy (states/eV/atom)
1,0.37
2,0.68
3,0.88
4,1.28
5,1.47
6,0.29